The following is a DFT calculation (PBE) of crystalline Li5CaHg6 at its relaxed geometry.

Structure (extended XYZ):
```
12
Lattice="4.810 0.000 0.000 0.000 7.036 0.000 -2.288 0.000 7.212" Properties=species:S:1:pos:R:3 pbc="T T T"
Li 0.000 0.000 0.000
Li 0.076 3.518 4.732
Li 0.064 0.000 4.886
Li 2.458 0.000 2.326
Li 2.446 3.518 2.479
Ca 0.000 3.518 0.000
Hg 0.054 1.630 2.510
Hg 0.054 5.406 2.510
Hg 2.405 1.567 0.000
Hg 2.405 5.469 0.000
Hg 2.468 1.630 4.702
Hg 2.468 5.406 4.702
```

Values from the calculation:
The calculated formation energy comes out at -0.38 eV/atom. The density of states at the Fermi level is 0.26 states/eV/atom. As for the symmetry: P2/m, No. 10.